Entry w
# PBE Sm4YHg, relaxed
# - N(E_F): 7.94 states/eV per cell
# - Density: 7.8 g cm⁻³
data_Sm4YHg
_cell_length_a 3.650
_cell_length_b 3.650
_cell_length_c 14.157
_cell_angle_alpha 90.00
_cell_angle_beta 90.00
_cell_angle_gamma 90.00
_space_group_name_H-M_alt 'P 4/m m m'
_space_group_IT_number 123
_space_group_name_Hall '-P 4 2'
loop_
_atom_site_label
_atom_site_fract_x
_atom_site_fract_y
_atom_site_fract_z
Sm1 0.000 0.000 0.144
Sm2 0.500 0.500 0.322
Y1 0.000 0.000 0.500
Hg1 0.500 0.500 0.000

***

Entry x
# PBE Sm4YHg, relaxed
# - N(E_F): 32.35 states/eV per cell
# - Density: 7.7 g cm⁻³
data_Sm4YHg
_cell_length_a 8.892
_cell_length_b 14.088
_cell_length_c 6.459
_cell_angle_alpha 90.00
_cell_angle_beta 108.86
_cell_angle_gamma 90.00
_space_group_name_H-M_alt 'C 1 2/c 1'
_space_group_IT_number 15
loop_
_space_group_symop_operation_xyz
'x,y,z'
'-x,-y,-z'
'-x,y,-z+1/2'
'x,-y,z+1/2'
'x+1/2,y+1/2,z'
'-x+1/2,-y+1/2,-z'
'-x+1/2,y+1/2,-z+1/2'
'x+1/2,-y+1/2,z+1/2'
loop_
_atom_site_label
_atom_site_fract_x
_atom_site_fract_y
_atom_site_fract_z
Sm1 0.099 0.189 0.046
Sm2 0.218 0.381 0.377
Y1 0.000 0.410 0.750
Hg1 0.000 0.001 0.750

***

Which of them is least stable? Easy: entry x.